Entry A
First-principles (PBE with a Hubbard U) data for FePd3F after structural relaxation, as listed in Alexandria via LeMat-Bulk.

a = 4.331 Å, b = 4.331 Å, c = 4.331 Å
α = 90.00°, β = 90.00°, γ = 90.00°
Fractional coordinates of all 5 atoms:
1 Fe 0.000 0.000 0.000
2 Pd 0.000 0.500 0.500
3 Pd 0.500 0.000 0.500
4 Pd 0.500 0.500 0.000
5 F 0.500 0.500 0.500

Summary:
DOS at the Fermi energy: 6.33 states/eV per cell
Mass density: 8.06 g/cm3
Crystal system: cubic
Symmetry: No. 221

=====

Entry B
First-principles (PBE with a Hubbard U) data for FePd3F after structural relaxation, as listed in Alexandria via LeMat-Bulk.

a = 4.700 Å, b = 4.700 Å, c = 4.700 Å
α = 90.00°, β = 90.00°, γ = 90.00°
Fractional coordinates of all 5 atoms:
1 Fe 0.000 0.000 0.000
2 Pd 0.000 0.000 0.500
3 Pd 0.000 0.500 0.000
4 Pd 0.500 0.000 0.000
5 F 0.500 0.500 0.500

Summary:
DOS at the Fermi energy: 0.93 states/eV per cell
Mass density: 6.30 g/cm3
Crystal system: cubic
Symmetry: No. 221

=====

Least stable: entry B

=====

Entry A
First-principles (PBE with a Hubbard U) data for FePt3F after structural relaxation, as listed in Alexandria via LeMat-Bulk.

a = 4.355 Å, b = 4.355 Å, c = 4.355 Å
α = 90.00°, β = 90.00°, γ = 90.00°
Fractional coordinates of all 5 atoms:
1 Fe 0.000 0.000 0.000
2 Pt 0.000 0.500 0.500
3 Pt 0.500 0.000 0.500
4 Pt 0.500 0.500 0.000
5 F 0.500 0.500 0.500

Summary:
DOS at the Fermi energy: 4.61 states/eV per cell
Mass density: 13.27 g/cm3
Crystal system: cubic
Symmetry: No. 221

=====

Entry B
First-principles (PBE with a Hubbard U) data for FePt3F after structural relaxation, as listed in Alexandria via LeMat-Bulk.

a = 4.676 Å, b = 4.676 Å, c = 4.676 Å
α = 90.00°, β = 90.00°, γ = 90.00°
Fractional coordinates of all 5 atoms:
1 Fe 0.000 0.000 0.000
2 Pt 0.000 0.000 0.500
3 Pt 0.000 0.500 0.000
4 Pt 0.500 0.000 0.000
5 F 0.500 0.500 0.500

Summary:
DOS at the Fermi energy: 2.82 states/eV per cell
Mass density: 10.72 g/cm3
Crystal system: cubic
Symmetry: No. 221

=====

Least stable: entry B

=====

Entry A
First-principles (PBE with a Hubbard U) data for RbFe2F2 after structural relaxation, as listed in Alexandria via LeMat-Bulk.

a = 7.398 Å, b = 7.398 Å, c = 7.398 Å
α = 151.92°, β = 151.92°, γ = 40.13°
Fractional coordinates of all 5 atoms:
1 Rb 0.000 0.000 0.000
2 Fe 0.250 0.750 0.500
3 Fe 0.750 0.250 0.500
4 F 0.386 0.386 0.000
5 F 0.614 0.614 0.000

Summary:
DOS at the Fermi energy: 0.50 states/eV per cell
Mass density: 4.36 g/cm3
Crystal system: tetragonal
Symmetry: No. 139

=====

Entry B
First-principles (PBE with a Hubbard U) data for RbFe2F2 after structural relaxation, as listed in Alexandria via LeMat-Bulk.

a = 8.304 Å, b = 8.304 Å, c = 3.616 Å
α = 90.00°, β = 90.00°, γ = 90.00°
Fractional coordinates of all 10 atoms:
1 Rb 0.000 0.000 0.000
2 Rb 0.500 0.500 0.000
3 Fe 0.109 0.391 0.500
4 Fe 0.391 0.891 0.500
5 Fe 0.609 0.109 0.500
6 Fe 0.891 0.609 0.500
7 F 0.197 0.303 0.000
8 F 0.303 0.803 0.000
9 F 0.697 0.197 0.000
10 F 0.803 0.697 0.000

Summary:
DOS at the Fermi energy: 3.82 states/eV per cell
Mass density: 3.13 g/cm3
Crystal system: tetragonal
Symmetry: No. 127

=====

Least stable: entry B

=====

Entry A
First-principles (PBE with a Hubbard U) data for RbFe3F after structural relaxation, as listed in Alexandria via LeMat-Bulk.

a = 4.668 Å, b = 4.668 Å, c = 4.668 Å
α = 90.00°, β = 90.00°, γ = 90.00°
Fractional coordinates of all 5 atoms:
1 Rb 0.000 0.000 0.000
2 Fe 0.000 0.500 0.500
3 Fe 0.500 0.000 0.500
4 Fe 0.500 0.500 0.000
5 F 0.500 0.500 0.500

Summary:
DOS at the Fermi energy: 3.95 states/eV per cell
Mass density: 4.44 g/cm3
Crystal system: cubic
Symmetry: No. 221

=====

Entry B
First-principles (PBE with a Hubbard U) data for RbFe3F after structural relaxation, as listed in Alexandria via LeMat-Bulk.

a = 5.710 Å, b = 5.710 Å, c = 5.710 Å
α = 90.00°, β = 90.00°, γ = 90.00°
Fractional coordinates of all 5 atoms:
1 Rb 0.000 0.000 0.000
2 Fe 0.000 0.000 0.500
3 Fe 0.000 0.500 0.000
4 Fe 0.500 0.000 0.000
5 F 0.500 0.500 0.500

Summary:
DOS at the Fermi energy: 12.13 states/eV per cell
Mass density: 2.43 g/cm3
Crystal system: cubic
Symmetry: No. 221

=====

Least stable: entry B